Entry 1:
The following is a PBE calculation of an optimized crystal structure of NiIrBr2, from the Alexandria database.

Theoretical density, g cm⁻³: 9.981

Unit cell a=4.6388 b=4.6388 c=3.1756 alpha=90.00 beta=90.00 gamma=90.07
With the nearest neighbours (Å) after each atom.
Atoms (fractional coordinates):
Ni 0.0000 0.0000 0.0000  8 Br 2.81
Ir 0.5000 0.5000 0.0000  8 Br 2.81
Br 0.0000 0.5000 0.5000  4 Ir 2.81, 4 Ni 2.81
Br 0.5000 0.0000 0.5000  4 Ir 2.81, 4 Ni 2.81

***

Entry 2:
The following is a PBE calculation of an optimized crystal structure of NiIrBr, from the Alexandria database.

Theoretical density, g cm⁻³: 11.331

Unit cell a=7.0614 b=6.7384 c=2.9342 alpha=83.97 beta=71.62 gamma=24.41
With the nearest neighbours (Å) after each atom.
Atoms (fractional coordinates):
Ni 0.0000 0.0000 0.0000  2 Ir 2.45, 2 Br 2.46
Ir 0.6505 0.6505 0.3495  2 Ni 2.45
Br 0.3484 0.3484 0.6516  2 Ni 2.46

***

Entry 3:
The following is a PBE calculation of an optimized crystal structure of NiIrBr2, from the Alexandria database.

Theoretical density, g cm⁻³: 7.819

Unit cell a=6.6126 b=6.6126 c=6.6126 alpha=127.99 beta=127.99 gamma=76.65
With the nearest neighbours (Å) after each atom.
Atoms (fractional coordinates):
Ni 0.0000 0.0000 0.0000  4 Br 2.36
Ni 0.7500 0.2500 0.5000  4 Br 2.36
Ir 0.2500 0.7500 0.5000  4 Br 2.49
Ir 0.5000 0.5000 0.0000  4 Br 2.49
Br 0.1068 0.6250 0.9818  2 Ni 2.36, 2 Ir 2.49
Br 0.3750 0.3568 0.4818  2 Ni 2.36, 2 Ir 2.49
Br 0.6432 0.1250 0.0182  2 Ni 2.36, 2 Ir 2.49
Br 0.8750 0.8932 0.5182  2 Ni 2.36, 2 Ir 2.49

***

Entry 4:
The following is a PBE calculation of an optimized crystal structure of NiIrBr, from the Alexandria database.

Theoretical density, g cm⁻³: 10.101

Unit cell a=4.2527 b=4.2527 c=4.2527 alpha=60.00 beta=60.00 gamma=60.00
With the nearest neighbours (Å) after each atom.
Atoms (fractional coordinates):
Ni 0.0000 0.0000 0.0000  4 Ir 2.60
Ir 0.2500 0.2500 0.2500  4 Br 2.60, 4 Ni 2.60
Br 0.5000 0.5000 0.5000  4 Ir 2.60

***

Entry 5:
The following is a PBE calculation of an optimized crystal structure of NiIrBr2, from the Alexandria database.

Theoretical density, g cm⁻³: 10.062

Unit cell a=4.5766 b=4.5766 c=4.5766 alpha=60.00 beta=60.00 gamma=60.00
With the nearest neighbours (Å) after each atom.
Atoms (fractional coordinates):
Ni 0.0000 0.0000 0.0000  8 Br 2.80
Ir 0.5000 0.5000 0.5000  8 Br 2.80
Br 0.2500 0.2500 0.2500  4 Ir 2.80, 4 Ni 2.80
Br 0.7500 0.7500 0.7500  4 Ir 2.80, 4 Ni 2.80

***

no.,electronic total energy (eV/atom),distance to the lowest polymorph of the same formula (meV per atom),formation energy (no corrections) (eV per atom)
1,-3.532,767.2,0.9649
2,-4.657,119.2,0.7810
3,-3.767,532.9,0.7305
4,-4.514,262.2,0.9240
5,-3.496,803.1,1.0008